{
  "formula": "InIr",
  "functional": "GGA-PBE",
  "state": "optimized geometry",
  "dft_energy_ev_per_cell": -10.64,
  "sg": "No. 225",
  "mass_density_g_cm3": 12.82,
  "lattice": [[0.000, 2.710, 2.710], [2.710, 0.000, 2.710], [2.710, 2.710, 0.000]],
  "species": ["In", "Ir"],
  "frac_coords": [[0.000, 0.000, 0.000], [0.500, 0.500, 0.500]]
}